# 1
Material: Ho3Br3N
Method: DFT, PBE-GGA
State: optimized geometry

Output
**Raw total energy**: -5.42 eV per atom
**ΔE_f (raw)**: -1556 meV per atom
**Magnetic moment**: 0.0 Bohr magnetons per cell

a = 6.404 Å, b = 6.404 Å, c = 11.150 Å
α = 73.31°, β = 73.31°, γ = 60.00°
Fractional positions:
Br1 0.898 0.570 0.307
Br2 0.226 0.898 0.307
Br3 0.570 0.226 0.307
Br4 0.774 0.102 0.693
Br5 0.102 0.430 0.693
Br6 0.430 0.774 0.693
N1 0.333 0.333 0.000
N2 0.667 0.667 0.000
Ho1 0.310 0.608 0.124
Ho2 0.959 0.310 0.124
Ho3 0.608 0.959 0.124
Ho4 0.041 0.690 0.876
Ho5 0.392 0.041 0.876
Ho6 0.690 0.392 0.876



# 2
Material: Nd2HoBr2N2
Method: DFT, PBE-GGA
State: optimized geometry

Output
**Raw total energy**: -6.25 eV per atom
**ΔE_f (raw)**: -1379 meV per atom
**Magnetic moment**: 1.0 Bohr magnetons per cell

a = 4.473 Å, b = 4.473 Å, c = 8.970 Å
α = 104.44°, β = 104.44°, γ = 90.00°
Fractional positions:
Br1 0.175 0.175 0.349
Br2 0.825 0.825 0.651
Ho1 0.000 0.000 0.000
Nd1 0.412 0.412 0.823
Nd2 0.588 0.588 0.177
N1 0.500 0.000 0.000
N2 0.000 0.500 0.000



Repeat the second record exactly.
Material: Nd2HoBr2N2
Method: DFT, PBE-GGA
State: optimized geometry

Output
**Raw total energy**: -6.25 eV per atom
**ΔE_f (raw)**: -1379 meV per atom
**Magnetic moment**: 1.0 Bohr magnetons per cell

a = 4.473 Å, b = 4.473 Å, c = 8.970 Å
α = 104.44°, β = 104.44°, γ = 90.00°
Fractional positions:
Br1 0.175 0.175 0.349
Br2 0.825 0.825 0.651
Ho1 0.000 0.000 0.000
Nd1 0.412 0.412 0.823
Nd2 0.588 0.588 0.177
N1 0.500 0.000 0.000
N2 0.000 0.500 0.000